# CaSmHgPd (GGA-PBE, relaxed)
# ΔH_f (0 K)   -2.40 eV per formula unit
# E_tot   -3.65 eV/atom
# Volume   394 Å³ per cell
data_CaSmHgPd
_symmetry_space_group_name_H-M 'F -4 3 m'
_symmetry_Int_Tables_number 216
_symmetry_space_group_name_Hall 'F -4 2 3'
_cell_length_a 7.329
_cell_length_b 7.329
_cell_length_c 7.329
_cell_angle_alpha 90.00
_cell_angle_beta 90.00
_cell_angle_gamma 90.00
loop_
_atom_site_label
_atom_site_fract_x
_atom_site_fract_y
_atom_site_fract_z
Ca1 0.000 0.000 0.000
Sm1 0.000 0.000 0.500
Hg1 0.250 0.250 0.750
Pd1 0.250 0.250 0.250